The following is a PBE calculation of LaErRh after structural relaxation, from Alexandria.

Properties
E_form, meV per atom: -516
Density, g cm⁻³: 8.12
Relative energy among the computed polymorphs, meV per atom: 105
Total moment, μB/f.u.: 0.00

a = 4.9090 Å, b = 4.9090 Å, c = 4.9090 Å
α = 60.00°, β = 60.00°, γ = 60.00°
Last column: nearest neighbours and their distance in Å.
Fractional positions:
La: 0.0000 0.0000 0.0000  4 Rh 3.01
Er: 0.5000 0.5000 0.5000  4 Rh 3.01
Rh: 0.2500 0.2500 0.2500  4 La 3.01, 4 Er 3.01



The following is a PBE calculation of GeRu2Pb2 after structural relaxation, from Alexandria.

Properties
E_form, meV per atom: 471
Density, g cm⁻³: 11.63
Relative energy among the computed polymorphs, meV per atom: 0
Total moment, μB/f.u.: 0.00

a = 7.6615 Å, b = 7.6615 Å, c = 3.3529 Å
α = 90.00°, β = 90.00°, γ = 90.00°
Last column: nearest neighbours and their distance in Å.
Fractional positions:
Ge: 0.0000 0.0000 0.0000  4 Ru 2.94
Ge: 0.5000 0.5000 0.0000  4 Ru 2.94
Ru: 0.1444 0.3556 0.0000  6 Pb 2.74-2.85, 2 Ge 2.94
Ru: 0.3556 0.8556 0.0000  6 Pb 2.74-2.85, 2 Ge 2.94
Ru: 0.6444 0.1444 0.0000  6 Pb 2.74-2.85, 2 Ge 2.94
Ru: 0.8556 0.6444 0.0000  6 Pb 2.74-2.85, 2 Ge 2.94
Pb: 0.1555 0.6555 0.5000  6 Ru 2.74-2.85
Pb: 0.3445 0.1555 0.5000  6 Ru 2.74-2.85
Pb: 0.6555 0.8445 0.5000  6 Ru 2.74-2.85
Pb: 0.8445 0.3445 0.5000  6 Ru 2.74-2.85



The following is a PBE calculation of Li5Tl6Cd2 after structural relaxation, from Alexandria.

Properties
E_form, meV per atom: -113
Density, g cm⁻³: 8.09
Total moment, μB/f.u.: 0.00

a = 10.4204 Å, b = 17.5883 Å, c = 3.3277 Å
α = 90.00°, β = 90.00°, γ = 90.00°
Last column: nearest neighbours and their distance in Å.
Fractional positions:
Li: 0.0000 0.0000 0.0000  6 Tl 2.85-2.93
Li: 0.1001 0.2633 0.0000  5 Tl 3.05-3.13, 4 Cd 3.08-3.23, 2 Li 3.33
Li: 0.1835 0.5373 0.0000  7 Tl 3.03-3.25, 3 Li 3.33-3.36
Li: 0.3165 0.0373 0.0000  7 Tl 3.03-3.25, 3 Li 3.33-3.36
Li: 0.3999 0.7633 0.0000  5 Tl 3.05-3.13, 4 Cd 3.08-3.23, 2 Li 3.33
Li: 0.5000 0.5000 0.0000  6 Tl 2.85-2.93
Li: 0.6001 0.2367 0.0000  5 Tl 3.05-3.13, 4 Cd 3.08-3.23, 2 Li 3.33
Li: 0.6835 0.9627 0.0000  7 Tl 3.03-3.25, 3 Li 3.33-3.36
Li: 0.8165 0.4627 0.0000  7 Tl 3.03-3.25, 3 Li 3.33-3.36
Li: 0.8999 0.7367 0.0000  5 Tl 3.05-3.13, 4 Cd 3.08-3.23, 2 Li 3.33
Tl: 0.0519 0.4110 0.5000  1 Cd 3.04, 6 Li 3.10-3.13, 5 Tl 3.31-3.39
Tl: 0.1158 0.1186 0.5000  6 Li 2.93-3.05, 1 Cd 3.02
Tl: 0.1712 0.8738 0.0000  2 Li 2.85-3.07
Tl: 0.3288 0.3738 0.0000  2 Li 2.85-3.07
Tl: 0.3842 0.6186 0.5000  6 Li 2.93-3.05, 1 Cd 3.02
Tl: 0.4481 0.9110 0.5000  1 Cd 3.04, 6 Li 3.10-3.13, 5 Tl 3.31-3.39
Tl: 0.5519 0.0890 0.5000  1 Cd 3.04, 6 Li 3.10-3.13, 5 Tl 3.31-3.39
Tl: 0.6158 0.3814 0.5000  6 Li 2.93-3.05, 1 Cd 3.02
Tl: 0.6712 0.6262 0.0000  2 Li 2.85-3.07
Tl: 0.8288 0.1262 0.0000  2 Li 2.85-3.07
Tl: 0.8842 0.8814 0.5000  6 Li 2.93-3.05, 1 Cd 3.02
Tl: 0.9481 0.5890 0.5000  1 Cd 3.04, 6 Li 3.10-3.13, 5 Tl 3.31-3.39
Cd: 0.1462 0.7161 0.5000  4 Tl 3.02-3.24, 4 Li 3.08-3.23, 2 Cd 3.33
Cd: 0.3538 0.2161 0.5000  4 Tl 3.02-3.24, 4 Li 3.08-3.23, 2 Cd 3.33
Cd: 0.6462 0.7839 0.5000  4 Tl 3.02-3.24, 4 Li 3.08-3.23, 2 Cd 3.33
Cd: 0.8538 0.2839 0.5000  4 Tl 3.02-3.24, 4 Li 3.08-3.23, 2 Cd 3.33



The following is a PBE calculation of NpAg4Sn after structural relaxation, from Alexandria.

Properties
E_form, meV per atom: 123
Density, g cm⁻³: 10.26
Total moment, μB/f.u.: 4.77

a = 5.6478 Å, b = 5.6478 Å, c = 5.6478 Å
α = 60.00°, β = 60.00°, γ = 60.00°
Last column: nearest neighbours and their distance in Å.
Fractional positions:
Np: 0.0000 0.0000 0.0000  12 Ag 3.31, 4 Sn 3.46
Ag: 0.1243 0.6252 0.6252  6 Ag 2.82-2.83
Ag: 0.6252 0.1243 0.6252  6 Ag 2.82-2.83
Ag: 0.6252 0.6252 0.1243  6 Ag 2.82-2.83
Ag: 0.6252 0.6252 0.6252  6 Ag 2.82-2.83
Sn: 0.2500 0.2500 0.2500  12 Ag 3.31, 4 Np 3.46



The following is a PBE calculation of MnCu3Pb after structural relaxation, from Alexandria.

Properties
E_form, meV per atom: 805
Density, g cm⁻³: 7.53
Relative energy among the computed polymorphs, meV per atom: 0
Total moment, μB/f.u.: 4.09

a = 4.6396 Å, b = 4.6396 Å, c = 4.6396 Å
α = 90.00°, β = 90.00°, γ = 90.00°
Last column: nearest neighbours and their distance in Å.
Fractional positions:
Mn: 0.0000 0.0000 0.0000  6 Cu 2.32
Cu: 0.0000 0.0000 0.5000  2 Mn 2.32
Cu: 0.0000 0.5000 0.0000  2 Mn 2.32
Cu: 0.5000 0.0000 0.0000  2 Mn 2.32
Pb: 0.5000 0.5000 0.5000  12 Cu 3.28



Q: What is the density in the first record?
A: 8.12 g cm⁻³



Q: What is the total moment in the second record?
A: 0.00 μB/f.u.



Q: E_form of number 1 (LaErRh)?
A: -516 meV per atom



Q: What is the density in the second record?
A: 11.63 g cm⁻³